Entry a
First-principles (GGA-PBE) data for a relaxed SrScMn2 crystal, as listed in the Alexandria database.

```
SrScMn2
1.0
8.036 -0.024 -0.051
-3.262 3.971 0.008
1.515 1.235 2.853
Sc Mn Sr
1 2 1
direct
0.000 0.500 0.500
0.000 0.000 0.000
0.500 0.000 0.500
0.500 0.500 0.000
```

Entry b
First-principles (GGA-PBE) data for a relaxed SrScMn2 crystal, as listed in the Alexandria database.

```
SrScMn2
1.0
0.000 3.355 3.355
3.355 0.000 3.355
3.355 3.355 0.000
Sr Mn Sc
1 2 1
direct
0.500 0.500 0.500
0.250 0.250 0.250
0.750 0.750 0.750
0.000 0.000 0.000
```

In eV/atom, relative to the most stable structure: entry a 0.000; entry b 0.552.

Entry a
First-principles (GGA-PBE) data for a relaxed SrSc3Mn crystal, as listed in the Alexandria database.

```
SrSc3Mn
1.0
5.060 0.000 0.000
0.000 5.060 0.000
0.000 0.000 5.060
Sc Sr Mn
3 1 1
direct
0.000 0.000 0.500
0.500 0.000 0.000
0.000 0.500 0.000
0.500 0.500 0.500
0.000 0.000 0.000
```

Entry b
First-principles (GGA-PBE) data for a relaxed SrSc3Mn crystal, as listed in the Alexandria database.

```
SrSc3Mn
1.0
-1.814 4.364 1.633
-2.537 0.545 -4.275
-3.909 -2.379 2.017
Mn Sc Sr
1 3 1
direct
0.500 0.500 0.500
0.000 0.500 0.000
0.500 0.000 0.000
0.000 0.000 0.500
0.000 0.000 0.000
```

In eV/atom, relative to the most stable structure: entry a 0.000; entry b 1.802.

Entry a
First-principles (GGA-PBE) data for a relaxed Sc2TaMn crystal, as listed in the Alexandria database.

```
Sc2TaMn
1.0
-1.386 -2.983 4.501
1.345 -4.273 3.317
2.313 1.164 4.069
Mn Sc Ta
1 2 1
direct
0.234 0.234 0.266
0.964 0.964 0.036
0.754 0.754 0.746
0.548 0.548 0.452
```

Entry b
First-principles (GGA-PBE) data for a relaxed Sc2TaMn crystal, as listed in the Alexandria database.

```
Sc2TaMn
1.0
-3.474 -2.067 2.370
-4.149 2.137 0.414
-3.732 -1.666 -2.291
Sc Mn Ta
2 1 1
direct
0.250 0.250 0.250
0.750 0.750 0.750
0.000 0.000 0.000
0.500 0.500 0.500
```

In eV/atom, relative to the most stable structure: entry a 0.000; entry b 0.466.

Entry a
First-principles (GGA-PBE) data for a relaxed Sc2TaMn crystal, as listed in the Alexandria database.

```
Sc2TaMn
1.0
-3.112 -0.623 3.048
-0.028 -2.965 -0.634
3.998 -2.337 3.604
Mn Sc Ta
1 2 1
direct
0.500 0.694 0.731
0.000 0.957 0.968
0.500 0.251 0.280
0.000 0.598 0.521
```

Entry b
First-principles (GGA-PBE) data for a relaxed Sc2TaMn crystal, as listed in the Alexandria database.

```
Sc2TaMn
1.0
-4.658 -0.015 -1.128
1.099 -1.128 -4.526
-0.178 -3.291 0.777
Sc Mn Ta
2 1 1
direct
0.500 0.500 0.000
0.000 0.000 0.000
0.000 0.500 0.500
0.500 0.000 0.500
```

In eV/atom, relative to the most stable structure: entry a 0.000; entry b 0.148.